(1)
A plane-wave DFT calculation with PBE-GGA was carried out for RbPt3 after structural relaxation.

**Symmetry**: Cmmm, No. 65

Cell lengths 5.3511, 5.3511, 2.8213 Å; angles 90.00, 90.00, 111.03 degrees
With the nearest neighbours (Å) after each atom.
Atoms (fractional coordinates):
1 Rb 0.0000 0.0000 0.0000  2 Rb 2.82, 10 Pt 3.02-3.03
2 Pt 0.0000 0.5000 0.5000  8 Pt 2.82-3.03, 4 Rb 3.02
3 Pt 0.5000 0.0000 0.5000  8 Pt 2.82-3.03, 4 Rb 3.02
4 Pt 0.5000 0.5000 0.0000  10 Pt 2.82-3.02, 2 Rb 3.03


(2)
A plane-wave DFT calculation with PBE-GGA was carried out for RbPt3 after structural relaxation.

**Symmetry**: Pnma, No. 62

Cell lengths 8.0380, 6.9951, 6.4516 Å; angles 90.00, 90.00, 90.00 degrees
With the nearest neighbours (Å) after each atom.
Atoms (fractional coordinates):
1 Rb 0.9803 0.7500 0.6168  10 Pt 3.22-3.51
2 Rb 0.5197 0.2500 0.1168  10 Pt 3.22-3.51
3 Rb 0.4803 0.7500 0.8832  10 Pt 3.22-3.51
4 Rb 0.0197 0.2500 0.3832  10 Pt 3.22-3.51
5 Pt 0.8520 0.2500 0.8358  6 Pt 2.68-2.74
6 Pt 0.3563 0.9354 0.4267  5 Pt 2.59-2.74
7 Pt 0.3563 0.5646 0.4267  5 Pt 2.59-2.74
8 Pt 0.1437 0.4354 0.9267  5 Pt 2.59-2.74
9 Pt 0.1437 0.0646 0.9267  5 Pt 2.59-2.74
10 Pt 0.6480 0.7500 0.3358  6 Pt 2.68-2.74
11 Pt 0.3520 0.2500 0.6642  6 Pt 2.68-2.74
12 Pt 0.8563 0.9354 0.0733  5 Pt 2.59-2.74
13 Pt 0.8563 0.5646 0.0733  5 Pt 2.59-2.74
14 Pt 0.6437 0.4354 0.5733  5 Pt 2.59-2.74
15 Pt 0.6437 0.0646 0.5733  5 Pt 2.59-2.74
16 Pt 0.1480 0.7500 0.1642  6 Pt 2.68-2.74


(3)
A plane-wave DFT calculation with PBE-GGA was carried out for RbPt3 after structural relaxation.

**Symmetry**: P-6m2, No. 187

Cell lengths 2.9018, 2.9018, 10.3369 Å; angles 90.00, 90.00, 120.00 degrees
With the nearest neighbours (Å) after each atom.
Atoms (fractional coordinates):
1 Rb 0.0000 0.0000 0.0000  6 Rb 2.90
2 Pt 0.0000 0.0000 0.5000  12 Pt 2.83-2.90
3 Pt 0.3333 0.6667 0.2794  9 Pt 2.83-2.90
4 Pt 0.3333 0.6667 0.7206  9 Pt 2.83-2.90


Least stable = (1)


(1)
A plane-wave DFT calculation with PBE-GGA was carried out for RbPt3 after structural relaxation.

**Symmetry**: Fm-3m, No. 225

Cell lengths 4.7963, 4.7963, 4.7963 Å; angles 60.00, 60.00, 60.00 degrees
With the nearest neighbours (Å) after each atom.
Atoms (fractional coordinates):
1 Rb 0.0000 0.0000 0.0000  8 Pt 2.94
2 Pt 0.2500 0.2500 0.2500  4 Rb 2.94, 4 Pt 2.94
3 Pt 0.5000 0.5000 0.5000  8 Pt 2.94
4 Pt 0.7500 0.7500 0.7500  4 Rb 2.94, 4 Pt 2.94


(2)
A plane-wave DFT calculation with PBE-GGA was carried out for RbPt3 after structural relaxation.

**Symmetry**: P4/mmm, No. 123

Cell lengths 5.2531, 5.2531, 2.7975 Å; angles 90.00, 90.00, 90.00 degrees
With the nearest neighbours (Å) after each atom.
Atoms (fractional coordinates):
1 Rb 0.0000 0.0000 0.0000  2 Rb 2.80, 8 Pt 2.98
2 Pt 0.0000 0.5000 0.5000  6 Pt 2.80-2.98, 4 Rb 2.98
3 Pt 0.5000 0.0000 0.5000  6 Pt 2.80-2.98, 4 Rb 2.98
4 Pt 0.5000 0.5000 0.0000  10 Pt 2.80-2.98


Least stable = (1)


(1)
A plane-wave DFT calculation with PBE-GGA was carried out for RbPt3 after structural relaxation.

**Symmetry**: P2/m, No. 10

Cell lengths 8.1902, 4.5221, 9.8742 Å; angles 90.00, 165.64, 90.00 degrees
With the nearest neighbours (Å) after each atom.
Atoms (fractional coordinates):
1 Rb 0.0000 0.0000 0.0000  2 Rb 2.81
2 Pt 0.3714 0.5000 0.0357  6 Pt 2.66-2.81
3 Pt 0.5000 0.0000 0.0000  6 Pt 2.66-2.81
4 Pt 0.6286 0.5000 0.9643  6 Pt 2.66-2.81


(2)
A plane-wave DFT calculation with PBE-GGA was carried out for RbPt3 after structural relaxation.

**Symmetry**: Pm-3m, No. 221

Cell lengths 4.2568, 4.2568, 4.2568 Å; angles 90.00, 90.00, 90.00 degrees
With the nearest neighbours (Å) after each atom.
Atoms (fractional coordinates):
1 Rb 0.0000 0.0000 0.0000  12 Pt 3.01
2 Pt 0.0000 0.5000 0.5000  8 Pt 3.01, 4 Rb 3.01
3 Pt 0.5000 0.0000 0.5000  4 Rb 3.01, 8 Pt 3.01
4 Pt 0.5000 0.5000 0.0000  8 Pt 3.01, 4 Rb 3.01


(3)
A plane-wave DFT calculation with PBE-GGA was carried out for RbPt3 after structural relaxation.

**Symmetry**: Pmmn, No. 59

Cell lengths 7.8381, 4.5438, 6.2627 Å; angles 90.00, 90.00, 90.00 degrees
With the nearest neighbours (Å) after each atom.
Atoms (fractional coordinates):
1 Pt 0.0000 0.5000 0.0242  6 Pt 2.63-2.64
2 Pt 0.1693 0.0000 0.0473  6 Pt 2.63-2.67
3 Pt 0.3307 0.5000 0.9527  6 Pt 2.63-2.67
4 Pt 0.5000 0.0000 0.9758  6 Pt 2.63-2.64
5 Pt 0.8307 0.0000 0.0473  6 Pt 2.63-2.67
6 Pt 0.6693 0.5000 0.9527  6 Pt 2.63-2.67
7 Rb 0.0000 0.0000 0.5535  6 Pt 3.37-3.72
8 Rb 0.5000 0.5000 0.4465  6 Pt 3.37-3.72


Least stable = (2)


(1)
A plane-wave DFT calculation with PBE-GGA was carried out for RbPt3 after structural relaxation.

**Symmetry**: C2/m, No. 12

Cell lengths 6.6189, 6.6189, 17.1489 Å; angles 157.00, 157.00, 24.43 degrees
With the nearest neighbours (Å) after each atom.
Atoms (fractional coordinates):
1 Rb 0.0000 0.0000 0.0000  2 Rb 2.80
2 Pt 0.2487 0.2487 0.4341  6 Pt 2.62-2.80
3 Pt 0.0000 0.0000 0.5000  6 Pt 2.62-2.80
4 Pt 0.7513 0.7513 0.5659  6 Pt 2.62-2.80


(2)
A plane-wave DFT calculation with PBE-GGA was carried out for RbPt3 after structural relaxation.

**Symmetry**: P6_3/mmc, No. 194

Cell lengths 7.6072, 7.6072, 4.3871 Å; angles 90.00, 90.00, 120.00 degrees
With the nearest neighbours (Å) after each atom.
Atoms (fractional coordinates):
1 Rb 0.3333 0.6667 0.2500  12 Pt 3.57-3.85
2 Rb 0.6667 0.3333 0.7500  12 Pt 3.57-3.85
3 Pt 0.1194 0.2389 0.7500  6 Pt 2.70-2.73
4 Pt 0.1194 0.8806 0.7500  6 Pt 2.70-2.73
5 Pt 0.2389 0.1194 0.2500  6 Pt 2.70-2.73
6 Pt 0.8806 0.1194 0.2500  6 Pt 2.70-2.73
7 Pt 0.8806 0.7611 0.2500  6 Pt 2.70-2.73
8 Pt 0.7611 0.8806 0.7500  6 Pt 2.70-2.73


(3)
A plane-wave DFT calculation with PBE-GGA was carried out for RbPt3 after structural relaxation.

**Symmetry**: R-3m, No. 166

Cell lengths 4.5664, 4.5661, 6.7028 Å; angles 70.05, 70.08, 60.00 degrees
With the nearest neighbours (Å) after each atom.
Atoms (fractional coordinates):
1 Rb 0.0000 0.0000 0.0000  2 Pt 3.21
2 Pt 0.5000 0.5000 0.5000  6 Pt 2.64
3 Pt 0.8265 0.8265 0.5205  6 Pt 2.64-2.65
4 Pt 0.1735 0.1735 0.4795  6 Pt 2.64-2.65


(4)
A plane-wave DFT calculation with PBE-GGA was carried out for RbPt3 after structural relaxation.

**Symmetry**: Cmcm, No. 63

Cell lengths 8.9128, 8.9128, 2.8230 Å; angles 90.00, 90.00, 124.85 degrees
With the nearest neighbours (Å) after each atom.
Atoms (fractional coordinates):
1 Rb 0.6147 0.3853 0.2500  2 Rb 2.82
2 Rb 0.3853 0.6147 0.7500  2 Rb 2.82
3 Pt 0.3596 0.9677 0.7500  7 Pt 2.63-2.82
4 Pt 0.9277 0.0723 0.7500  8 Pt 2.69-2.82
5 Pt 0.9677 0.3596 0.2500  7 Pt 2.63-2.82
6 Pt 0.0323 0.6404 0.7500  7 Pt 2.63-2.82
7 Pt 0.0723 0.9277 0.2500  8 Pt 2.69-2.82
8 Pt 0.6404 0.0323 0.2500  7 Pt 2.63-2.82


Least stable = (2)


(1)
A plane-wave DFT calculation with PBE-GGA was carried out for Rb4Pt5 after structural relaxation.

**Symmetry**: I4/mmm, No. 139

Cell lengths 10.9941, 10.9941, 10.9941 Å; angles 91.00, 91.00, 164.79 degrees
With the nearest neighbours (Å) after each atom.
Atoms (fractional coordinates):
1 Rb 0.0000 0.2102 0.2102  2 Rb 2.91, 1 Pt 3.24
2 Rb 0.0000 0.7897 0.7897  2 Rb 2.91, 1 Pt 3.24
3 Rb 0.2102 0.0000 0.2102  2 Rb 2.91, 1 Pt 3.24
4 Rb 0.7897 0.0000 0.7897  2 Rb 2.91, 1 Pt 3.24
5 Pt 0.0000 0.0000 0.0000  2 Pt 2.91, 4 Rb 3.24
6 Pt 0.2995 0.2995 0.5990  4 Pt 2.60-2.91
7 Pt 0.2995 0.7005 0.0000  4 Pt 2.60-2.91
8 Pt 0.7005 0.2995 0.0000  4 Pt 2.60-2.91
9 Pt 0.7005 0.7005 0.4010  4 Pt 2.60-2.91


(2)
A plane-wave DFT calculation with PBE-GGA was carried out for Rb4Pt5 after structural relaxation.

**Symmetry**: P6_3/mcm, No. 193

Cell lengths 8.9776, 8.9776, 6.1521 Å; angles 90.00, 90.00, 120.00 degrees
With the nearest neighbours (Å) after each atom.
Atoms (fractional coordinates):
1 Rb 0.0000 0.0000 0.0000  8 Rb 3.08-3.14
2 Rb 0.0000 0.0000 0.5000  8 Rb 3.08-3.14
3 Rb 0.0000 0.3052 0.2500  1 Pt 2.72
4 Rb 0.6948 0.6948 0.2500  1 Pt 2.72
5 Rb 0.3052 0.0000 0.2500  1 Pt 2.72
6 Rb 0.0000 0.6948 0.7500  1 Pt 2.72
7 Rb 0.3052 0.3052 0.7500  1 Pt 2.72
8 Rb 0.6948 0.0000 0.7500  1 Pt 2.72
9 Pt 0.0000 0.6083 0.2500  1 Rb 2.72
10 Pt 0.3917 0.3917 0.2500  1 Rb 2.72
11 Pt 0.6083 0.0000 0.2500  1 Rb 2.72
12 Pt 0.0000 0.3917 0.7500  1 Rb 2.72
13 Pt 0.6083 0.6083 0.7500  1 Rb 2.72
14 Pt 0.3917 0.0000 0.7500  1 Rb 2.72
15 Pt 0.6667 0.3333 0.0000  8 Pt 3.08-3.17
16 Pt 0.3333 0.6667 0.5000  8 Pt 3.08-3.17
17 Pt 0.3333 0.6667 0.0000  8 Pt 3.08-3.17
18 Pt 0.6667 0.3333 0.5000  8 Pt 3.08-3.17


Least stable = (2)


(1)
A plane-wave DFT calculation with PBE-GGA was carried out for Rb3Pt4 after structural relaxation.

**Symmetry**: P6/mmm, No. 191

Cell lengths 6.7343, 6.7343, 5.0842 Å; angles 90.00, 90.00, 120.00 degrees
With the nearest neighbours (Å) after each atom.
Atoms (fractional coordinates):
1 Rb 0.0000 0.5000 0.0000  4 Pt 3.20, 4 Rb 3.37
2 Rb 0.5000 0.5000 0.0000  4 Pt 3.20, 4 Rb 3.37
3 Rb 0.5000 0.0000 0.0000  4 Pt 3.20, 4 Rb 3.37
4 Pt 0.0000 0.0000 0.2483  2 Pt 2.53-2.56
5 Pt 0.0000 0.0000 0.7517  2 Pt 2.53-2.56
6 Pt 0.6667 0.3333 0.5000  6 Rb 3.20
7 Pt 0.3333 0.6667 0.5000  6 Rb 3.20


(2)
A plane-wave DFT calculation with PBE-GGA was carried out for Rb3Pt4 after structural relaxation.

**Symmetry**: I4/mmm, No. 139

Cell lengths 16.5595, 16.5595, 16.5595 Å; angles 167.32, 167.32, 17.97 degrees
With the nearest neighbours (Å) after each atom.
Atoms (fractional coordinates):
1 Rb 0.0000 0.0000 0.0000  2 Pt 3.24
2 Rb 0.3217 0.3217 0.0000  1 Pt 3.06
3 Rb 0.6783 0.6783 0.0000  1 Pt 3.06
4 Pt 0.0991 0.0991 0.0000  4 Pt 2.63
5 Pt 0.4153 0.4153 0.0000  4 Pt 2.63
6 Pt 0.5847 0.5847 0.0000  4 Pt 2.63
7 Pt 0.9009 0.9009 0.0000  4 Pt 2.63


Least stable = (1)